LaNiBN2 | Alexandria via LeMat-Bulk | GGA-PBE | optimized geometry; total magnetic moment = 0.0 μB/cell; ΔE_f (raw) = 9.38 kcal/mol of atoms; crystal system = tetragonal; DOS at the Fermi energy = 1.60 states/eV/cell
1.0
3.8779 0.0000 0.0000
0.0000 3.8080 0.0000
0.0000 0.0000 3.8779
Ni B N La
1 1 2 1
direct
0.0000 0.5000 0.0000
0.0000 0.0000 0.0000
0.0000 0.0000 0.5000
0.5000 0.0000 0.0000
0.5000 0.5000 0.5000